No. 1
# CrSiSCl2

A relaxed CrSiSCl2 crystal (PBE-GGA, the Alexandria database).

```
CrSiSCl2
1.0
4.666 0.000 0.000
0.000 4.666 0.000
0.000 0.000 4.862
Cr Si S Cl
1 1 1 2
direct
0.000 0.000 0.000
0.500 0.500 0.500
0.000 0.000 0.500
0.000 0.500 0.000
0.500 0.000 0.000
```

Output
energy above the most stable polymorph in this dataset = 0 meV/atom
total moment = 4.0 μB/f.u.
E_form (uncorrected) = -12 meV per atom

---

No. 2
# YAl3Rh

A relaxed YAl3Rh crystal (PBE-GGA, the Alexandria database).

```
YAl3Rh
1.0
5.291 0.000 0.000
0.000 5.291 0.000
0.000 0.000 5.291
Y Al Rh
1 3 1
direct
0.000 0.000 0.000
0.000 0.000 0.500
0.000 0.500 0.000
0.500 0.000 0.000
0.500 0.500 0.500
```

Output
energy of formation from the pure elements = 1619.2 meV per atom
total moment = 0.3 μB/f.u.

---

no.,calculated total energy (eV/atom),D(E_F) (states/eV per cell)
1,-4.59,2.10
2,-3.39,7.74